Record 1
A relaxed structure of SrBe3Sb, computed with PBE.

As for the uncorrected formation energy: 2.018 eV/atom.

The structure belongs to space group Pm-3m (No. 221); the cell edges are 5.176, 5.176 and 5.176 Å and the angles 90.00°, 90.00° and 90.00°. The distinct sites, in fractional coordinates, are Sr at (0.000, 0.000, 0.000), Be at (0.000, 0.000, 0.500) and Sb at (0.500, 0.500, 0.500).

Record 2
A relaxed structure of Sr11InSb9, computed with PBE.

As for the uncorrected formation energy: -1.012 eV/atom.

The structure belongs to space group Iba2 (No. 45); the cell edges are 12.530, 13.239 and 17.718 Å and the angles 90.00°, 90.00° and 90.00°. The distinct sites, in fractional coordinates, are Sr at (0.000, 0.000, 0.000), Sr at (0.074, 0.278, 0.022), Sr at (0.089, 0.272, 0.338), Sr at (0.159, 0.173, 0.680), Sr at (0.183, 0.446, 0.552), Sr at (0.185, 0.443, 0.809), In at (0.000, 0.000, 0.288), Sb at (0.000, 0.500, 0.429), Sb at (0.034, 0.395, 0.183), Sb at (0.129, 0.117, 0.177), Sb at (0.148, 0.140, 0.869) and Sb at (0.176, 0.179, 0.497).

Record 3
A relaxed structure of FeCo2PtC, computed with PBE.

Its formation enthalpy at 0 K is 0.081 eV/atom.

The structure belongs to space group P4/mmm (No. 123); the cell edges are 3.792, 3.792 and 3.915 Å and the angles 90.00°, 90.00° and 90.00°. The distinct sites, in fractional coordinates, are Fe at (0.000, 0.000, 0.000), Co at (0.000, 0.500, 0.500), Pt at (0.500, 0.500, 0.000) and C at (0.000, 0.000, 0.500).

Record 4
A relaxed structure of Hf2TiZn5Cu2, computed with PBE.

Its formation enthalpy at 0 K is -0.182 eV/atom.

The structure belongs to space group P4/mbm (No. 127); the cell edges are 8.843, 8.843 and 3.998 Å and the angles 90.00°, 90.00° and 90.00°. The distinct sites, in fractional coordinates, are Hf at (0.181, 0.319, 0.000), Ti at (0.000, 0.000, 0.000), Zn at (0.000, 0.500, 0.500), Zn at (0.056, 0.792, 0.500) and Cu at (0.115, 0.615, 0.000).

Record 5
A relaxed structure of RbZrN2O, computed with PBE.

As for the uncorrected formation energy: -0.524 eV/atom.

The structure belongs to space group P4/mmm (No. 123); the cell edges are 4.491, 4.491 and 4.219 Å and the angles 90.00°, 90.00° and 90.00°. The distinct sites, in fractional coordinates, are Rb at (0.000, 0.000, 0.000), Zr at (0.500, 0.500, 0.500), N at (0.000, 0.500, 0.500) and O at (0.500, 0.500, 0.000).

Record 6
A relaxed structure of GaCu2SnTe4, computed with PBE.

As for the uncorrected formation energy: -0.182 eV/atom.

The structure belongs to space group Fmm2 (No. 42); the cell edges are 8.908, 8.916 and 12.305 Å and the angles 90.00°, 90.00° and 90.00°. The distinct sites, in fractional coordinates, are Ga at (0.000, 0.000, 0.000), Cu at (0.250, 0.250, 0.250), Sn at (0.000, 0.000, 0.499), Te at (0.000, 0.229, 0.858) and Te at (0.229, 0.000, 0.141).